A plane-wave DFT calculation with PBE was carried out for a geometry-optimized LiY2Sc structure.

Cell lengths 6.3940, 6.3940, 5.3617 Å; angles 114.77, 114.77, 33.07 degrees
Closest atoms and distances in Å follow each position.
Fractional positions:
Li 0.0000 0.0000 0.0000  2 Sc 2.99, 6 Y 3.16-3.24
Y 0.2662 0.2662 0.7653  2 Li 3.16, 4 Sc 3.29
Y 0.4866 0.4866 0.4863  4 Li 3.24, 2 Sc 3.51, 4 Y 3.58-3.62
Sc 0.7146 0.7146 0.2135  2 Li 2.99, 4 Y 3.29

Density of states at the Fermi level ... 1.50 states/eV/atom
Raw total energy ... -20.85 eV per cell

=====

A plane-wave DFT calculation with PBE was carried out for a geometry-optimized Pm3Y4Ho structure.

Cell lengths 11.4643, 7.3388, 6.3378 Å; angles 90.00, 90.00, 90.00 degrees
Closest atoms and distances in Å follow each position.
Fractional positions:
Pm 0.0000 0.1252 0.0000  4 Pm 3.55-3.57, 6 Y 3.58-3.68, 2 Ho 3.66-3.68
Pm 0.2500 0.1246 0.3301  4 Pm 3.55-3.66, 2 Ho 3.55-3.57, 6 Y 3.57-3.68
Pm 0.2500 0.8754 0.8301  4 Pm 3.55-3.66, 2 Ho 3.55-3.57, 6 Y 3.57-3.68
Pm 0.5000 0.8748 0.5000  4 Pm 3.55-3.57, 6 Y 3.58-3.68, 2 Ho 3.66-3.68
Pm 0.7500 0.1246 0.3301  4 Pm 3.55-3.66, 2 Ho 3.55-3.57, 6 Y 3.57-3.68
Pm 0.7500 0.8754 0.8301  4 Pm 3.55-3.66, 2 Ho 3.55-3.57, 6 Y 3.57-3.68
Y 0.0000 0.3754 0.4973  6 Y 3.54-3.66, 4 Pm 3.57-3.68, 2 Ho 3.65-3.69
Y 0.0000 0.6239 0.9971  6 Y 3.56-3.66, 4 Pm 3.57-3.68, 2 Ho 3.65-3.67
Y 0.2486 0.6241 0.3332  6 Y 3.54-3.65, 1 Ho 3.54, 5 Pm 3.58-3.68
Y 0.2514 0.3759 0.8332  6 Y 3.54-3.65, 1 Ho 3.54, 5 Pm 3.58-3.68
Y 0.5000 0.3761 0.4971  6 Y 3.56-3.66, 4 Pm 3.57-3.68, 2 Ho 3.65-3.67
Y 0.5000 0.6246 0.9973  6 Y 3.54-3.66, 4 Pm 3.57-3.68, 2 Ho 3.65-3.69
Y 0.7486 0.3759 0.8332  6 Y 3.54-3.65, 1 Ho 3.54, 5 Pm 3.58-3.68
Y 0.7514 0.6241 0.3332  6 Y 3.54-3.65, 1 Ho 3.54, 5 Pm 3.58-3.68
Ho 0.0000 0.8729 0.4991  6 Y 3.54-3.69, 6 Pm 3.55-3.68
Ho 0.5000 0.1271 0.9991  6 Y 3.54-3.69, 6 Pm 3.55-3.68

Density of states at the Fermi level ... 1.83 states/eV/atom
Raw total energy ... -89.14 eV per cell

=====

A plane-wave DFT calculation with PBE was carried out for a geometry-optimized Rb3InBi3 structure.

Cell lengths 8.7164, 8.7164, 9.3003 Å; angles 92.05, 92.05, 99.57 degrees
Closest atoms and distances in Å follow each position.
Fractional positions:
Rb 0.1697 0.8303 0.0000  6 Bi 3.85-4.13
Rb 0.2597 0.7403 0.5000  4 Bi 3.80-3.90
Rb 0.3779 0.3779 0.8183  5 Bi 3.65-3.85
Rb 0.6221 0.6221 0.1817  5 Bi 3.65-3.85
Rb 0.7403 0.2597 0.5000  4 Bi 3.80-3.90
Rb 0.8303 0.1697 0.0000  6 Bi 3.85-4.13
In 0.2173 0.2173 0.3935  3 Bi 2.89
In 0.7827 0.7827 0.6065  3 Bi 2.89
Bi 0.0787 0.0787 0.6464  1 In 2.89, 1 Bi 3.16
Bi 0.1881 0.4391 0.1743  1 In 2.89
Bi 0.4391 0.1881 0.1743  1 In 2.89
Bi 0.5609 0.8119 0.8257  1 In 2.89
Bi 0.8119 0.5609 0.8257  1 In 2.89
Bi 0.9213 0.9213 0.3536  1 In 2.89, 1 Bi 3.16

Density of states at the Fermi level ... 0.37 states/eV/atom
Raw total energy ... -37.19 eV per cell

=====

A plane-wave DFT calculation with PBE was carried out for a geometry-optimized Tm5Cd4Cu structure.

Cell lengths 3.6030, 3.6030, 18.6721 Å; angles 90.00, 90.00, 90.00 degrees
Closest atoms and distances in Å follow each position.
Fractional positions:
Tm 0.0000 0.0000 0.0000  8 Cd 3.18
Tm 0.0000 0.0000 0.2055  8 Cd 3.18-3.19
Tm 0.0000 0.0000 0.4128  4 Cu 3.02, 4 Cd 3.22, 1 Tm 3.26
Tm 0.0000 0.0000 0.5872  4 Cu 3.02, 4 Cd 3.22, 1 Tm 3.26
Tm 0.0000 0.0000 0.7945  8 Cd 3.18-3.19
Cd 0.5000 0.5000 0.1023  8 Tm 3.18-3.19
Cd 0.5000 0.5000 0.3075  8 Tm 3.18-3.22
Cd 0.5000 0.5000 0.6925  8 Tm 3.18-3.22
Cd 0.5000 0.5000 0.8977  8 Tm 3.18-3.19
Cu 0.5000 0.5000 0.5000  8 Tm 3.02

Density of states at the Fermi level ... 0.81 states/eV/atom
Raw total energy ... -33.05 eV per cell

=====

A plane-wave DFT calculation with PBE was carried out for a geometry-optimized YV2Pb2 structure.

Cell lengths 8.0659, 8.0659, 3.4444 Å; angles 90.00, 90.00, 90.00 degrees
Closest atoms and distances in Å follow each position.
Fractional positions:
Y 0.0000 0.0000 0.0000  8 Pb 3.40, 4 V 3.41, 2 Y 3.44
Y 0.5000 0.5000 0.0000  8 Pb 3.40, 4 V 3.41, 2 Y 3.44
V 0.0863 0.4137 0.0000  1 V 1.97
V 0.4137 0.9137 0.0000  1 V 1.97
V 0.5863 0.0863 0.0000  1 V 1.97
V 0.9137 0.5863 0.0000  1 V 1.97
Pb 0.1926 0.6926 0.5000  6 V 2.96-3.05
Pb 0.3074 0.1926 0.5000  6 V 2.96-3.05
Pb 0.6926 0.8074 0.5000  6 V 2.96-3.05
Pb 0.8074 0.3074 0.5000  6 V 2.96-3.05

Density of states at the Fermi level ... 0.90 states/eV/atom
Raw total energy ... -61.62 eV per cell

=====

A plane-wave DFT calculation with PBE was carried out for a geometry-optimized NbCdBrO2 structure.

Cell lengths 4.2224, 4.2224, 5.0386 Å; angles 90.00, 90.00, 90.00 degrees
Closest atoms and distances in Å follow each position.
Fractional positions:
Nb 0.0000 0.0000 0.0000  2 Br 2.52
Cd 0.5000 0.5000 0.0000  4 Nb 2.99, 8 O 3.29
Br 0.0000 0.0000 0.5000  4 O 2.11
O 0.0000 0.5000 0.5000  2 Br 2.11
O 0.5000 0.0000 0.5000  2 Br 2.11

Density of states at the Fermi level ... 1.20 states/eV/atom
Energy relative to the elements, uncorrected ... 0.863 eV per atom

=====

A plane-wave DFT calculation with PBE was carried out for a geometry-optimized Hg5Au structure.

Cell lengths 6.5602, 6.5602, 8.2387 Å; angles 107.52, 107.52, 25.80 degrees
Closest atoms and distances in Å follow each position.
Fractional positions:
Hg 0.0000 0.0000 0.0000  6 Hg 2.93-3.26
Hg 0.3306 0.3306 0.1884  2 Hg 2.93, 2 Au 3.16
Hg 0.3488 0.3488 0.6528  4 Hg 2.93-3.26, 2 Au 2.99
Hg 0.6512 0.6512 0.3472  4 Hg 2.93-3.26, 2 Au 2.99
Hg 0.6694 0.6694 0.8116  2 Hg 2.93, 2 Au 3.16
Au 0.0000 0.0000 0.5000  2 Au 2.93, 8 Hg 2.99-3.16

Density of states at the Fermi level ... 0.30 states/eV/atom
Raw total energy ... -4.38 eV per cell

=====

A plane-wave DFT calculation with PBE was carried out for a geometry-optimized Ni14SnSb structure.

Cell lengths 5.1844, 5.1844, 7.1072 Å; angles 90.00, 90.00, 90.00 degrees
Closest atoms and distances in Å follow each position.
Fractional positions:
Ni 0.0000 0.0000 0.0000  12 Ni 2.47-2.59
Ni 0.0000 0.5000 0.0000  12 Ni 2.47-2.59
Ni 0.0000 0.5000 0.5000  2 Sn 2.59, 2 Sb 2.59, 8 Ni 2.63
Ni 0.2494 0.2494 0.2340  10 Ni 2.47-2.63, 1 Sb 2.63, 1 Sn 2.64
Ni 0.2494 0.2494 0.7660  10 Ni 2.47-2.63, 1 Sb 2.63, 1 Sn 2.64
Ni 0.2494 0.7506 0.2340  10 Ni 2.47-2.63, 1 Sb 2.63, 1 Sn 2.64
Ni 0.2494 0.7506 0.7660  10 Ni 2.47-2.63, 1 Sb 2.63, 1 Sn 2.64
Ni 0.5000 0.0000 0.0000  12 Ni 2.47-2.59
Ni 0.5000 0.0000 0.5000  2 Sn 2.59, 2 Sb 2.59, 8 Ni 2.63
Ni 0.5000 0.5000 0.0000  12 Ni 2.48-2.59
Ni 0.7506 0.2494 0.2340  10 Ni 2.47-2.63, 1 Sb 2.63, 1 Sn 2.64
Ni 0.7506 0.2494 0.7660  10 Ni 2.47-2.63, 1 Sb 2.63, 1 Sn 2.64
Ni 0.7506 0.7506 0.2340  10 Ni 2.47-2.63, 1 Sb 2.63, 1 Sn 2.64
Ni 0.7506 0.7506 0.7660  10 Ni 2.47-2.63, 1 Sb 2.63, 1 Sn 2.64
Sn 0.5000 0.5000 0.5000  12 Ni 2.59-2.64
Sb 0.0000 0.0000 0.5000  12 Ni 2.59-2.63

Density of states at the Fermi level ... 1.93 states/eV/atom
Energy relative to the elements, uncorrected ... -0.042 eV per atom

=====

A plane-wave DFT calculation with PBE was carried out for a geometry-optimized Rb2NaAsPt structure.

Cell lengths 6.8417, 6.8417, 4.6140 Å; angles 90.00, 90.00, 90.00 degrees
Closest atoms and distances in Å follow each position.
Fractional positions:
Rb 0.0000 0.5000 0.0000  2 Pt 3.42
Rb 0.5000 0.0000 0.0000  2 Pt 3.42
Na 0.0000 0.0000 0.5000  8 Rb 4.13, 2 Na 4.61
As 0.5000 0.5000 0.5000  2 Pt 2.31
Pt 0.5000 0.5000 0.0000  2 As 2.31

Density of states at the Fermi level ... 0.27 states/eV/atom
Raw total energy ... -14.86 eV per cell

=====

A plane-wave DFT calculation with PBE was carried out for a geometry-optimized Ce2Dy8Ho3 structure.

Cell lengths 8.6241, 8.6241, 6.7785 Å; angles 105.61, 105.61, 63.81 degrees
Closest atoms and distances in Å follow each position.
Fractional positions:
Ce 0.2167 0.2167 0.4125  7 Dy 3.35-3.47, 3 Ho 3.50-3.75
Ce 0.7833 0.7833 0.5875  7 Dy 3.35-3.47, 3 Ho 3.50-3.75
Dy 0.1900 0.1900 0.8860  1 Ho 3.11, 2 Ce 3.35-3.46, 2 Dy 3.40
Dy 0.1968 0.5645 0.8224  5 Dy 3.35-3.63, 2 Ce 3.38-3.47, 2 Ho 3.39-3.46
Dy 0.4174 0.4174 0.2727  6 Dy 3.26-3.63, 1 Ce 3.36, 2 Ho 3.40
Dy 0.4355 0.8032 0.1776  5 Dy 3.35-3.63, 2 Ce 3.38-3.47, 2 Ho 3.39-3.46
Dy 0.5645 0.1968 0.8224  5 Dy 3.35-3.63, 2 Ce 3.38-3.47, 2 Ho 3.39-3.46
Dy 0.5826 0.5826 0.7273  6 Dy 3.26-3.63, 1 Ce 3.36, 2 Ho 3.40
Dy 0.8032 0.4355 0.1776  5 Dy 3.35-3.63, 2 Ce 3.38-3.47, 2 Ho 3.39-3.46
Dy 0.8100 0.8100 0.1140  1 Ho 3.11, 2 Ce 3.35-3.46, 2 Dy 3.40
Ho 0.0000 0.0000 0.0000  6 Dy 3.11-3.39
Ho 0.1729 0.8271 0.5000  1 Ho 3.15, 6 Dy 3.40-3.53
Ho 0.8271 0.1729 0.5000  1 Ho 3.15, 6 Dy 3.40-3.53

Density of states at the Fermi level ... 2.01 states/eV/atom
Raw total energy ... -58.87 eV per cell

=====

Q: What is the density of states at the Fermi level in the fifth record?
A: 0.90 states/eV/atom

=====

Q: Among the records above, which one has the highest density of states at the Fermi level?
A: Ce2Dy8Ho3

=====

What did the fourth record say?
A plane-wave DFT calculation with PBE was carried out for a geometry-optimized Tm5Cd4Cu structure.

Cell lengths 3.6030, 3.6030, 18.6721 Å; angles 90.00, 90.00, 90.00 degrees
Closest atoms and distances in Å follow each position.
Fractional positions:
Tm 0.0000 0.0000 0.0000  8 Cd 3.18
Tm 0.0000 0.0000 0.2055  8 Cd 3.18-3.19
Tm 0.0000 0.0000 0.4128  4 Cu 3.02, 4 Cd 3.22, 1 Tm 3.26
Tm 0.0000 0.0000 0.5872  4 Cu 3.02, 4 Cd 3.22, 1 Tm 3.26
Tm 0.0000 0.0000 0.7945  8 Cd 3.18-3.19
Cd 0.5000 0.5000 0.1023  8 Tm 3.18-3.19
Cd 0.5000 0.5000 0.3075  8 Tm 3.18-3.22
Cd 0.5000 0.5000 0.6925  8 Tm 3.18-3.22
Cd 0.5000 0.5000 0.8977  8 Tm 3.18-3.19
Cu 0.5000 0.5000 0.5000  8 Tm 3.02

Density of states at the Fermi level ... 0.81 states/eV/atom
Raw total energy ... -33.05 eV per cell